# 1
The following is a DFT calculation (meta-GGA SCAN) of a PBEsol-optimized structure of MgZnAu2.

```
MgZnAu2
1.0
4.505 0.000 0.000
2.252 3.901 0.000
2.252 1.300 3.678
Zn Au Mg
1 2 1
Cartesian
0.000 0.000 0.000
2.252 1.300 0.920
6.757 3.901 2.759
4.505 2.601 1.839
```

SG = Fm-3m, No. 225

---

# 2
The following is a DFT calculation (meta-GGA SCAN) of a PBEsol-optimized structure of MgZnAu.

```
MgZnAu
1.0
-1.909 -0.670 -2.215
3.100 -2.517 -1.911
-2.790 -1.777 2.943
Mg Zn Au
1 1 1
Cartesian
-2.099 -2.471 -0.152
0.818 -2.382 -0.664
-0.317 -0.111 -0.367
```

SG = P-6m2, No. 187

---

# 3
The following is a DFT calculation (meta-GGA SCAN) of a PBEsol-optimized structure of Mg4ZnAu.

```
Mg4ZnAu
1.0
5.512 0.000 0.000
2.756 4.773 0.000
2.756 1.591 4.500
Au Mg Zn
1 4 1
Cartesian
0.000 0.000 0.000
5.512 3.182 3.942
6.893 2.385 1.686
4.130 2.385 1.686
5.512 4.777 1.686
8.267 4.773 3.375
```

SG = F-43m, No. 216

---

# 4
The following is a DFT calculation (meta-GGA SCAN) of a PBEsol-optimized structure of MgZnAu.

```
MgZnAu
1.0
4.358 0.000 0.000
2.179 3.774 0.000
2.179 1.258 3.558
Au Zn Mg
1 1 1
Cartesian
6.537 3.774 2.669
4.358 2.516 1.779
0.000 0.000 0.000
```

SG = F-43m, No. 216

---

# 5
The following is a DFT calculation (meta-GGA SCAN) of a PBEsol-optimized structure of MgZnAu2.

```
MgZnAu2
1.0
-1.046 -0.095 -3.014
3.137 -1.667 -1.036
-2.338 -5.002 0.968
Au Zn Mg
2 1 1
Cartesian
0.411 -2.239 -1.762
-2.269 -4.856 0.940
-0.758 -4.741 -1.278
-1.136 -2.430 0.470
```

SG = Pmm2, No. 25

---

# 6
The following is a DFT calculation (meta-GGA SCAN) of a PBEsol-optimized structure of Mg2ZnAu.

```
Mg2ZnAu
1.0
3.370 0.000 0.000
0.000 4.518 0.000
-1.685 -2.259 4.586
Au Mg Zn
1 2 1
Cartesian
0.000 2.259 2.179
1.685 2.259 4.437
1.685 0.000 2.401
1.685 2.259 0.155
```

SG = Imm2, No. 44

---

# 7
The following is a DFT calculation (meta-GGA SCAN) of a PBEsol-optimized structure of MgZnAu.

```
MgZnAu
1.0
3.389 0.000 0.000
0.000 3.389 0.000
-1.694 -1.694 4.267
Zn Mg Au
1 1 1
Cartesian
0.000 0.000 2.874
1.694 1.694 1.409
1.694 1.694 4.250
```

SG = I4mm, No. 107

---

# 8
The following is a DFT calculation (meta-GGA SCAN) of a PBEsol-optimized structure of Mg2ZnAu.

```
Mg2ZnAu
1.0
3.365 0.000 0.000
0.000 3.365 0.000
0.000 0.000 6.096
Mg Zn Au
2 1 1
Cartesian
0.000 0.000 1.546
0.000 0.000 4.550
1.683 1.683 0.000
1.683 1.683 3.048
```

SG = P4/mmm, No. 123

---

# 9
The following is a DFT calculation (meta-GGA SCAN) of a PBEsol-optimized structure of Mg2ZnAu.

```
Mg2ZnAu
1.0
-1.957 0.310 2.708
-3.315 -2.272 -2.136
4.013 -3.154 1.183
Mg Au Zn
2 1 1
Cartesian
-0.950 -3.067 -0.336
-0.015 -0.177 0.009
-0.180 -1.966 2.174
1.262 -4.040 1.375
```

SG = Cm, No. 8

---

# 10
The following is a DFT calculation (meta-GGA SCAN) of a PBEsol-optimized structure of Mg3ZnAu.

```
Mg3ZnAu
1.0
-1.212 3.999 2.851
-3.591 1.281 -3.324
-3.350 -2.820 2.532
Mg Au Zn
3 1 1
Cartesian
-1.796 0.640 -1.662
-0.606 1.999 1.425
-1.675 -1.410 1.266
0.000 0.000 0.000
-4.077 1.230 1.029
```

SG = Pm-3m, No. 221

---

# 11
The following is a DFT calculation (meta-GGA SCAN) of a PBEsol-optimized structure of MgZnAu2.

```
MgZnAu2
1.0
3.854 0.000 0.000
0.000 3.933 0.000
-1.927 -1.967 4.257
Au Zn Mg
2 1 1
Cartesian
1.927 1.967 2.119
1.927 0.000 4.241
0.000 0.000 2.149
1.927 0.000 0.005
```

SG = Imm2, No. 44

---

# 12
The following is a DFT calculation (meta-GGA SCAN) of a PBEsol-optimized structure of Mg2ZnAu.

```
Mg2ZnAu
1.0
3.450 0.000 0.000
0.000 3.450 0.000
0.000 0.000 5.907
Mg Zn Au
2 1 1
Cartesian
0.000 0.000 5.742
1.725 1.725 1.615
0.000 0.000 2.994
1.725 1.725 4.418
```

SG = P4mm, No. 99

---

no.,energy of formation from the pure elements (meV per atom)
1,-519
2,-483
3,102
4,-459
5,-447
6,-430
7,-479
8,-466
9,-431
10,-75
11,-503
12,-364